Entry 1:
# La2MgInIr | Alexandria via LeMat-Bulk | PBE-GGA | optimized geometry
# Spin magnetization in μB/atom: 0.000
# Formation energy in kJ/mol of atoms: -33.73
# Distance to the lowest polymorph of the same formula in eV per atom: 0.094
data_La2MgInIr
_chemical_formula_sum 'La2 Mg1 In1 Ir1'
_cell_length_a 5.5496
_cell_length_b 5.5496
_cell_length_c 5.2515
_cell_angle_alpha 90.00
_cell_angle_beta 90.00
_cell_angle_gamma 90.00
_space_group_name_H-M_alt 'P 4/m m m'
_space_group_IT_number 123
_space_group_name_Hall '-P 4 2'
loop_
_atom_site_label
_atom_site_fract_x
_atom_site_fract_y
_atom_site_fract_z
_atom_site_occupancy
La1 0.0000 0.5000 0.0000 1
Mg1 0.0000 0.0000 0.5000 1
In1 0.5000 0.5000 0.5000 1
Ir1 0.5000 0.5000 0.0000 1

Entry 2:
# RhW2Cl | Alexandria via LeMat-Bulk | PBE-GGA | optimized geometry
# Spin magnetization in μB/atom: 0.000
# Distance to the lowest polymorph of the same formula in eV per atom: 0.863
data_RhW2Cl
_chemical_formula_sum 'Rh4 W8 Cl4'
_cell_length_a 6.3568
_cell_length_b 6.3568
_cell_length_c 6.3568
_cell_angle_alpha 90.00
_cell_angle_beta 90.00
_cell_angle_gamma 90.00
_space_group_name_H-M_alt 'F -4 3 m'
_space_group_IT_number 216
_space_group_name_Hall 'F -4 2 3'
loop_
_atom_site_label
_atom_site_fract_x
_atom_site_fract_y
_atom_site_fract_z
_atom_site_occupancy
Rh1 0.0000 0.0000 0.0000 1
W1 0.0000 0.0000 0.5000 1
W2 0.2500 0.2500 0.2500 1
Cl1 0.2500 0.2500 0.7500 1

Entry 3:
# Ta4IrPt | Alexandria via LeMat-Bulk | PBE-GGA | optimized geometry
# Spin magnetization in μB/atom: 0.000
# Formation energy in kJ/mol of atoms: 13.78
data_Ta4IrPt
_chemical_formula_sum 'Ta16 Ir4 Pt4'
_cell_length_a 7.5013
_cell_length_b 7.5013
_cell_length_c 7.5013
_cell_angle_alpha 90.00
_cell_angle_beta 90.00
_cell_angle_gamma 90.00
_space_group_name_H-M_alt 'F -4 3 m'
_space_group_IT_number 216
_space_group_name_Hall 'F -4 2 3'
loop_
_atom_site_label
_atom_site_fract_x
_atom_site_fract_y
_atom_site_fract_z
_atom_site_occupancy
Ta1 0.1253 0.1253 0.1253 1
Ir1 0.0000 0.0000 0.5000 1
Pt1 0.2500 0.2500 0.7500 1

Entry 4:
# ZnNiOs | Alexandria via LeMat-Bulk | PBE-GGA | optimized geometry
# Spin magnetization in μB/atom: 0.000
# Formation energy in kJ/mol of atoms: 9.18
# Distance to the lowest polymorph of the same formula in eV per atom: 0.078
data_ZnNiOs
_chemical_formula_sum 'Zn2 Ni2 Os2'
_cell_length_a 2.6472
_cell_length_b 2.6472
_cell_length_c 11.2254
_cell_angle_alpha 90.00
_cell_angle_beta 90.00
_cell_angle_gamma 90.00
_space_group_name_H-M_alt 'I 4 m m'
_space_group_IT_number 107
_space_group_name_Hall 'I 4 -2'
loop_
_atom_site_label
_atom_site_fract_x
_atom_site_fract_y
_atom_site_fract_z
_atom_site_occupancy
Zn1 0.0000 0.0000 0.0000 1
Ni1 0.0000 0.0000 0.6634 1
Os1 0.0000 0.0000 0.3177 1